# TaBO2F | Alexandria | GGA-PBE | relaxed
# Energy relative to the elements, uncorrected: -1108 meV per atom
# V: 12.991 Å³ per atom
data_TaBO2F
_chemical_formula_sum 'Ta1 B1 O2 F1'
_space_group_name_H-M_alt 'P 4/m m m'
_space_group_IT_number 123
_space_group_name_Hall '-P 4 2'
_cell_length_a 3.952
_cell_length_b 3.952
_cell_length_c 4.158
_cell_angle_alpha 90.00
_cell_angle_beta 90.00
_cell_angle_gamma 90.00
loop_
_atom_site_label
_atom_site_type_symbol
_atom_site_fract_x
_atom_site_fract_y
_atom_site_fract_z
Ta1 Ta 0.000 0.000 0.000
B1 B 0.500 0.500 0.500
O1 O 0.000 0.500 0.000
F1 F 0.000 0.000 0.500

***

# CuHg5 | Alexandria | GGA-PBE | relaxed
# Distance to the lowest polymorph of the same formula: 0.33 eV per formula unit
# V: 24.579 Å³ per atom
data_CuHg5
_chemical_formula_sum 'Cu2 Hg10'
_space_group_name_H-M_alt 'C m m m'
_space_group_IT_number 65
_space_group_name_Hall '-C 2 2'
_cell_length_a 5.737
_cell_length_b 13.847
_cell_length_c 3.713
_cell_angle_alpha 90.00
_cell_angle_beta 90.00
_cell_angle_gamma 90.00
loop_
_atom_site_label
_atom_site_type_symbol
_atom_site_fract_x
_atom_site_fract_y
_atom_site_fract_z
Cu1 Cu 0.000 0.000 0.000
Hg1 Hg 0.000 0.139 0.500
Hg2 Hg 0.000 0.319 0.000
Hg3 Hg 0.000 0.500 0.500

***

# AcEuMg2 | Alexandria | GGA-PBE | relaxed
# Energy: -17.93 eV per cell
# V: 33.890 Å³ per atom
data_AcEuMg2
_chemical_formula_sum 'Ac1 Eu1 Mg2'
_space_group_name_H-M_alt 'P 4/m m m'
_space_group_IT_number 123
_space_group_name_Hall '-P 4 2'
_cell_length_a 5.763
_cell_length_b 5.763
_cell_length_c 4.082
_cell_angle_alpha 90.00
_cell_angle_beta 90.00
_cell_angle_gamma 90.00
loop_
_atom_site_label
_atom_site_type_symbol
_atom_site_fract_x
_atom_site_fract_y
_atom_site_fract_z
Ac1 Ac 0.000 0.000 0.000
Eu1 Eu 0.500 0.500 0.000
Mg1 Mg 0.000 0.500 0.500

***

# Pm4InSnO | Alexandria | GGA-PBE | relaxed
# Energy relative to the elements, uncorrected: -1177 meV per atom
# V: 27.654 Å³ per atom
data_Pm4InSnO
_chemical_formula_sum 'Pm16 In4 Sn4 O4'
_space_group_name_H-M_alt 'C m c m'
_space_group_IT_number 63
_space_group_name_Hall '-C 2c 2'
_cell_length_a 6.690
_cell_length_b 17.329
_cell_length_c 6.679
_cell_angle_alpha 90.00
_cell_angle_beta 90.00
_cell_angle_gamma 90.00
loop_
_atom_site_label
_atom_site_type_symbol
_atom_site_fract_x
_atom_site_fract_y
_atom_site_fract_z
Pm1 Pm 0.000 0.069 0.250
Pm2 Pm 0.000 0.419 0.250
Pm3 Pm 0.250 0.250 0.000
In1 In 0.000 0.113 0.750
Sn1 Sn 0.000 0.390 0.750
O1 O 0.000 0.271 0.250

***

# LaReAu2Br | Alexandria | GGA-PBE | relaxed
# Energy relative to the elements, uncorrected: 1189 meV per atom
# V: 27.947 Å³ per atom
data_LaReAu2Br
_chemical_formula_sum 'La1 Re1 Au2 Br1'
_space_group_name_H-M_alt 'P 4/m m m'
_space_group_IT_number 123
_space_group_name_Hall '-P 4 2'
_cell_length_a 5.003
_cell_length_b 5.003
_cell_length_c 5.582
_cell_angle_alpha 90.00
_cell_angle_beta 90.00
_cell_angle_gamma 90.00
loop_
_atom_site_label
_atom_site_type_symbol
_atom_site_fract_x
_atom_site_fract_y
_atom_site_fract_z
La1 La 0.000 0.000 0.000
Re1 Re 0.500 0.500 0.000
Au1 Au 0.000 0.500 0.500
Br1 Br 0.000 0.000 0.500

***

# CsAs2 | Alexandria | GGA-PBE | relaxed
# Energy: -21.51 eV per cell
# V: 29.232 Å³ per atom
data_CsAs2
_chemical_formula_sum 'Cs2 As4'
_space_group_name_H-M_alt 'I 4/m m m'
_space_group_IT_number 139
_space_group_name_Hall '-I 4 2'
_cell_length_a 3.676
_cell_length_b 3.676
_cell_length_c 12.981
_cell_angle_alpha 90.00
_cell_angle_beta 90.00
_cell_angle_gamma 90.00
loop_
_atom_site_label
_atom_site_type_symbol
_atom_site_fract_x
_atom_site_fract_y
_atom_site_fract_z
Cs1 Cs 0.000 0.000 0.000
As1 As 0.000 0.000 0.284